# BeIO2F

BeIO2F after structural relaxation (GGA-PBEsol, the Alexandria database).

The calculated volume comes out at 70.31 Å³/cell. Its energy relative to the elements, uncorrected is -475 meV per atom.

The structure belongs to space group P4/mmm (No. 123); the cell edges are 3.359, 3.359 and 6.232 Å and the angles 90.00°, 90.00° and 90.00°. The inequivalent atoms are Be at (0.000, 0.000, 0.000), I at (0.000, 0.000, 0.500), O at (0.000, 0.500, 0.000) and F at (0.500, 0.500, 0.500).